(1)
A plane-wave DFT calculation with PBE was carried out for NaSmDy2 after structural relaxation.

Calculated volume, Å³/f.u.: 133
ρ, g/cm³: 6.204
Formation energy, eV per formula unit: 0.571
Symmetry: P4/mmm
Relative energy among the computed polymorphs, meV per atom: 0

a = 3.556 Å, b = 3.556 Å, c = 10.546 Å
α = 90.00°, β = 90.00°, γ = 90.00°
Element x y z (fractional)
Na  0.000  0.000  0.000
Sm  0.000  0.000  0.500
Dy  0.500  0.500  0.268
Dy  0.500  0.500  0.732

(2)
A plane-wave DFT calculation with PBE was carried out for In3Ga2Bi4 after structural relaxation.

Calculated volume, Å³/f.u.: 261
ρ, g/cm³: 8.401
Formation energy, eV per formula unit: 0.484
Symmetry: C2/m

a = 7.084 Å, b = 7.084 Å, c = 10.220 Å
α = 120.87°, β = 120.87°, γ = 37.23°
Element x y z (fractional)
In  0.000  0.000  0.000
In  0.357  0.357  0.328
In  0.643  0.643  0.672
Ga  0.302  0.302  0.654
Ga  0.698  0.698  0.346
Bi  0.064  0.064  0.361
Bi  0.325  0.325  0.964
Bi  0.675  0.675  0.036
Bi  0.936  0.936  0.639

(3)
A plane-wave DFT calculation with PBE was carried out for CuRe2Pb after structural relaxation.

Calculated volume, Å³/f.u.: 66
ρ, g/cm³: 16.195
Formation energy, eV per formula unit: 3.481
Symmetry: F-43m
Relative energy among the computed polymorphs, meV per atom: 388

a = 6.413 Å, b = 6.413 Å, c = 6.413 Å
α = 90.00°, β = 90.00°, γ = 90.00°
Element x y z (fractional)
Cu  0.000  0.000  0.000
Cu  0.000  0.500  0.500
Cu  0.500  0.000  0.500
Cu  0.500  0.500  0.000
Re  0.000  0.000  0.500
Re  0.000  0.500  0.000
Re  0.250  0.250  0.750
Re  0.250  0.750  0.250
Re  0.500  0.000  0.000
Re  0.500  0.500  0.500
Re  0.750  0.250  0.250
Re  0.750  0.750  0.750
Pb  0.250  0.250  0.250
Pb  0.250  0.750  0.750
Pb  0.750  0.250  0.750
Pb  0.750  0.750  0.250

(4)
A plane-wave DFT calculation with PBE was carried out for Sc2TlFe after structural relaxation.

Calculated volume, Å³/f.u.: 91
ρ, g/cm³: 6.394
Formation energy, eV per formula unit: 0.691
Symmetry: R-3m

a = 3.312 Å, b = 3.312 Å, c = 28.725 Å
α = 90.00°, β = 90.00°, γ = 120.00°
Element x y z (fractional)
Sc  0.000  0.000  0.108
Sc  0.000  0.000  0.892
Sc  0.333  0.667  0.558
Sc  0.333  0.667  0.775
Sc  0.667  0.333  0.225
Sc  0.667  0.333  0.442
Tl  0.000  0.000  0.000
Tl  0.333  0.667  0.667
Tl  0.667  0.333  0.333
Fe  0.000  0.000  0.500
Fe  0.333  0.667  0.167
Fe  0.667  0.333  0.833

(5)
A plane-wave DFT calculation with PBE was carried out for YZnAs2Br after structural relaxation.

Calculated volume, Å³/f.u.: 122
ρ, g/cm³: 5.238
Symmetry: P4/mmm
Relative energy among the computed polymorphs, meV per atom: 0

a = 4.778 Å, b = 4.778 Å, c = 5.333 Å
α = 90.00°, β = 90.00°, γ = 90.00°
Element x y z (fractional)
Y  0.000  0.000  0.000
Zn  0.500  0.500  0.500
As  0.000  0.500  0.500
As  0.500  0.000  0.500
Br  0.500  0.500  0.000

(6)
A plane-wave DFT calculation with PBE was carried out for Zn2PdPb2 after structural relaxation.

Calculated volume, Å³/f.u.: 112
ρ, g/cm³: 9.630
Formation energy, eV per formula unit: 0.186
Symmetry: I4/mmm
Relative energy among the computed polymorphs, meV per atom: 39

a = 3.522 Å, b = 3.522 Å, c = 18.120 Å
α = 90.00°, β = 90.00°, γ = 90.00°
Element x y z (fractional)
Zn  0.000  0.500  0.250
Zn  0.000  0.500  0.750
Zn  0.500  0.000  0.250
Zn  0.500  0.000  0.750
Pd  0.000  0.000  0.000
Pd  0.500  0.500  0.500
Pb  0.000  0.000  0.407
Pb  0.000  0.000  0.593
Pb  0.500  0.500  0.093
Pb  0.500  0.500  0.907

(7)
A plane-wave DFT calculation with PBE was carried out for BaCd2Au after structural relaxation.

Calculated volume, Å³/f.u.: 137
ρ, g/cm³: 6.769
Formation energy, eV per formula unit: -0.987
Symmetry: I-42d

a = 5.178 Å, b = 5.178 Å, c = 20.462 Å
α = 90.00°, β = 90.00°, γ = 90.00°
Element x y z (fractional)
Ba  0.000  0.000  0.000
Ba  0.000  0.500  0.250
Ba  0.500  0.000  0.750
Ba  0.500  0.500  0.500
Cd  0.088  0.250  0.625
Cd  0.250  0.588  0.875
Cd  0.250  0.912  0.375
Cd  0.412  0.250  0.125
Cd  0.588  0.750  0.125
Cd  0.750  0.088  0.375
Cd  0.750  0.412  0.875
Cd  0.912  0.750  0.625
Au  0.000  0.000  0.500
Au  0.000  0.500  0.750
Au  0.500  0.000  0.250
Au  0.500  0.500  0.000

(8)
A plane-wave DFT calculation with PBE was carried out for CaGaS3 after structural relaxation.

Calculated volume, Å³/f.u.: 108
ρ, g/cm³: 3.182
Symmetry: Pm-3m
Relative energy among the computed polymorphs, meV per atom: 0

a = 4.755 Å, b = 4.755 Å, c = 4.755 Å
α = 90.00°, β = 90.00°, γ = 90.00°
Element x y z (fractional)
Ca  0.000  0.000  0.000
Ga  0.500  0.500  0.500
S  0.000  0.500  0.500
S  0.500  0.000  0.500
S  0.500  0.500  0.000

(9)
A plane-wave DFT calculation with PBE was carried out for ErScAsS after structural relaxation.

Calculated volume, Å³/f.u.: 85
Energy, eV/atom: -6.51
ρ, g/cm³: 6.259
Symmetry: R3m

a = 3.819 Å, b = 3.819 Å, c = 20.116 Å
α = 90.00°, β = 90.00°, γ = 120.00°
Element x y z (fractional)
Er  0.000  0.000  0.000
Er  0.333  0.667  0.667
Er  0.667  0.333  0.333
Sc  0.000  0.000  0.173
Sc  0.333  0.667  0.840
Sc  0.667  0.333  0.507
As  0.000  0.000  0.580
As  0.333  0.667  0.247
As  0.667  0.333  0.914
S  0.000  0.000  0.757
S  0.333  0.667  0.424
S  0.667  0.333  0.091

no.,total magnetic moment (μB/cell)
1,0.00
2,0.00
3,0.00
4,0.00
5,0.00
6,0.00
7,0.00
8,0.00
9,0.04